# 1
Entry from Alexandria: a relaxed structure of MnRePt (PBE-GGA).

abc: 4.331 4.331 2.641
angles: 90.00 90.00 120.00
Sites, in units of the cell vectors:
Mn (0.000, 0.000, 0.000)
Re (0.333, 0.667, 0.500)
Pt (0.667, 0.333, 0.000)

Calculated values
Energy of formation (eV/atom): 0.00


# 2
Entry from Alexandria: a relaxed structure of MnRePt2 (PBE-GGA).

abc: 4.817 4.817 4.817
angles: 133.18 133.18 68.38
Sites, in units of the cell vectors:
Mn (0.000, 0.000, 0.000)
Re (0.500, 0.500, 0.000)
Pt (0.250, 0.750, 0.500)
Pt (0.750, 0.250, 0.500)

Calculated values
Energy of formation (eV/atom): -0.16


# 3
Entry from Alexandria: a relaxed structure of Mn2RePt (PBE-GGA).

abc: 5.481 5.481 5.481
angles: 103.80 103.80 121.52
Sites, in units of the cell vectors:
Mn (0.112, 0.625, 0.987)
Mn (0.375, 0.362, 0.487)
Mn (0.638, 0.125, 0.013)
Mn (0.875, 0.888, 0.513)
Re (0.000, 0.000, 0.000)
Re (0.750, 0.250, 0.500)
Pt (0.250, 0.750, 0.500)
Pt (0.500, 0.500, 0.000)

Calculated values
Energy of formation (eV/atom): 0.52


# 4
Entry from Alexandria: a relaxed structure of MnRe2Pt (PBE-GGA).

abc: 2.716 3.897 5.485
angles: 90.00 90.00 90.00
Sites, in units of the cell vectors:
Mn (0.000, 0.000, 0.000)
Re (0.000, 0.000, 0.516)
Re (0.500, 0.500, 0.754)
Pt (0.500, 0.500, 0.245)

Calculated values
Energy of formation (eV/atom): -0.04


# 5
Entry from Alexandria: a relaxed structure of MnRe2Pt (PBE-GGA).

abc: 4.739 4.739 4.735
angles: 99.26 99.26 33.44
Sites, in units of the cell vectors:
Mn (0.000, 0.000, 0.000)
Re (0.250, 0.250, 0.757)
Re (0.750, 0.750, 0.243)
Pt (0.500, 0.500, 0.500)

Calculated values
Energy of formation (eV/atom): 0.00


# 6
Entry from Alexandria: a relaxed structure of MnRe2Pt (PBE-GGA).

abc: 9.700 9.700 9.700
angles: 157.91 157.91 31.44
Sites, in units of the cell vectors:
Mn (0.000, 0.000, 0.000)
Mn (0.750, 0.250, 0.500)
Re (0.096, 0.625, 0.971)
Re (0.375, 0.346, 0.471)
Re (0.654, 0.125, 0.029)
Re (0.875, 0.904, 0.529)
Pt (0.250, 0.750, 0.500)
Pt (0.500, 0.500, 0.000)

Calculated values
Energy of formation (eV/atom): 0.49